The following is a PBE calculation of a geometry-optimized Re3NiMo structure, from Alexandria.

Cell: 4.6593 4.6593 4.6593 Å, 90.00 90.00 90.00°
With the nearest neighbours (Å) after each atom.
Element x y z (fractional)
1 Re 0.0000 0.0000 0.5000  2 Mo 2.33
2 Re 0.0000 0.5000 0.0000  2 Mo 2.33
3 Re 0.5000 0.0000 0.0000  2 Mo 2.33
4 Ni 0.5000 0.5000 0.5000  12 Re 3.29
5 Mo 0.0000 0.0000 0.0000  6 Re 2.33

Summary:
The value obtained for the calculated total energy is -8.34 eV/atom. For the energy above the most stable polymorph in this dataset, the calculation gives 772 meV/atom. Its formation energy is 2.454 eV per atom. For the volume, the calculation gives 101 Å³/cell. For the density, the calculation gives 11.7 g/cm³.